# Re4W11 (PBE-GGA, optimized geometry)
data_Re4W11
_cell_length_a 9.7214
_cell_length_b 9.7214
_cell_length_c 5.0804
_cell_angle_alpha 90.00
_cell_angle_beta 90.00
_cell_angle_gamma 90.00
_symmetry_space_group_name_H-M 'P 42/m n m'
_symmetry_Int_Tables_number 136
_symmetry_space_group_name_Hall '-P 4n 2n'
loop_
_atom_site_label
_atom_site_type_symbol
_atom_site_fract_x
_atom_site_fract_y
_atom_site_fract_z
Re1 Re 0.0653 0.2595 0.0000
W1 W 0.0000 0.0000 0.0000
W2 W 0.0350 0.3695 0.5000
W3 W 0.1010 0.1010 0.5000
W4 W 0.1843 0.8157 0.2513
# * excess energy over the best structure of this formula in the dataset: 0 meV per atom
# * size of the total moment: 0.00 μB per formula unit
# * formation enthalpy at 0 K: 58 meV/atom
# * volume: 16.0 Å³ per atom


# KHfBeAu (PBE-GGA, optimized geometry)
data_KHfBeAu
_cell_length_a 6.9630
_cell_length_b 6.9630
_cell_length_c 6.9630
_cell_angle_alpha 90.00
_cell_angle_beta 90.00
_cell_angle_gamma 90.00
_symmetry_space_group_name_H-M 'F -4 3 m'
_symmetry_Int_Tables_number 216
_symmetry_space_group_name_Hall 'F -4 2 3'
loop_
_atom_site_label
_atom_site_type_symbol
_atom_site_fract_x
_atom_site_fract_y
_atom_site_fract_z
K1 K 0.0000 0.0000 0.0000
Hf1 Hf 0.0000 0.0000 0.5000
Be1 Be 0.2500 0.2500 0.7500
Au1 Au 0.2500 0.2500 0.2500
# * excess energy over the best structure of this formula in the dataset: 48 meV per atom
# * size of the total moment: 0.00 μB per formula unit
# * volume: 21.1 Å³ per atom